Record 1
K2InSbTe4 | PBE-GGA | relaxed

```
data_K2InSbTe4
_space_group_name_H-M_alt 'I m m a'
_space_group_IT_number 74
_space_group_name_Hall '-I 2b 2'
_cell_length_a 9.178
_cell_length_b 9.392
_cell_length_c 13.151
_cell_angle_alpha 90.00
_cell_angle_beta 90.00
_cell_angle_gamma 90.00
loop_
_atom_site_label
_atom_site_fract_x
_atom_site_fract_y
_atom_site_fract_z
_atom_site_occupancy
K1 0.000 0.000 0.000 1
K2 0.250 0.250 0.250 1
In1 0.250 0.250 0.750 1
Sb1 0.000 0.000 0.500 1
Te1 0.000 0.033 0.738 1
Te2 0.227 0.250 0.516 1
```

***

Record 2
KInSbTe2 | PBE-GGA | relaxed

```
data_KInSbTe2
_space_group_name_H-M_alt 'P 4/m m m'
_space_group_IT_number 123
_space_group_name_Hall '-P 4 2'
_cell_length_a 6.112
_cell_length_b 6.112
_cell_length_c 5.920
_cell_angle_alpha 90.00
_cell_angle_beta 90.00
_cell_angle_gamma 90.00
loop_
_atom_site_label
_atom_site_fract_x
_atom_site_fract_y
_atom_site_fract_z
_atom_site_occupancy
K1 0.000 0.000 0.000 1
In1 0.500 0.500 0.500 1
Sb1 0.000 0.000 0.500 1
Te1 0.000 0.500 0.000 1
```

***

Record 3
KTlIn2Sb2 | PBE-GGA | relaxed

```
data_KTlIn2Sb2
_space_group_name_H-M_alt 'P -3 m 1'
_space_group_IT_number 164
_space_group_name_Hall '-P 3 2"'
_cell_length_a 5.4030
_cell_length_b 5.4030
_cell_length_c 7.7645
_cell_angle_alpha 90.00
_cell_angle_beta 90.00
_cell_angle_gamma 120.00
loop_
_atom_site_label
_atom_site_fract_x
_atom_site_fract_y
_atom_site_fract_z
_atom_site_occupancy
K1 0.0000 0.0000 0.0000 1
Tl1 0.0000 0.0000 0.5000 1
In1 0.3333 0.6667 0.6655 1
Sb1 0.3333 0.6667 0.2732 1
```

***

Record 4
KTlInSb | PBE-GGA | relaxed

```
data_KTlInSb
_space_group_name_H-M_alt 'R 3 m'
_space_group_IT_number 160
_space_group_name_Hall 'R 3 -2"'
_cell_length_a 4.9338
_cell_length_b 4.9338
_cell_length_c 20.7943
_cell_angle_alpha 90.00
_cell_angle_beta 90.00
_cell_angle_gamma 120.00
loop_
_atom_site_label
_atom_site_fract_x
_atom_site_fract_y
_atom_site_fract_z
_atom_site_occupancy
K1 0.0000 0.0000 0.0000 1
Tl1 0.0000 0.0000 0.4383 1
In1 0.0000 0.0000 0.8252 1
Sb1 0.0000 0.0000 0.2190 1
```

***

Record 5
KTlInSb | PBE-GGA | relaxed

```
data_KTlInSb
_space_group_name_H-M_alt 'F -4 3 m'
_space_group_IT_number 216
_space_group_name_Hall 'F -4 2 3'
_cell_length_a 8.017
_cell_length_b 8.017
_cell_length_c 8.017
_cell_angle_alpha 90.00
_cell_angle_beta 90.00
_cell_angle_gamma 90.00
loop_
_atom_site_label
_atom_site_fract_x
_atom_site_fract_y
_atom_site_fract_z
_atom_site_occupancy
K1 0.000 0.000 0.000 1
Tl1 0.250 0.250 0.250 1
In1 0.250 0.250 0.750 1
Sb1 0.000 0.000 0.500 1
```

***

Record 6
K2TlInSb2 | PBE-GGA | relaxed

```
data_K2TlInSb2
_space_group_name_H-M_alt 'I b a m'
_space_group_IT_number 72
_space_group_name_Hall '-I 2 2c'
_cell_length_a 7.562
_cell_length_b 15.774
_cell_length_c 7.544
_cell_angle_alpha 90.00
_cell_angle_beta 90.00
_cell_angle_gamma 90.00
loop_
_atom_site_label
_atom_site_fract_x
_atom_site_fract_y
_atom_site_fract_z
_atom_site_occupancy
K1 0.239 0.167 0.000 1
Tl1 0.000 0.000 0.250 1
In1 0.000 0.500 0.250 1
Sb1 0.219 0.397 0.000 1
```

***

Number 1: formation energy without anion corrections -528.1 meV per atom. Number 2: formation energy without anion corrections 725.6 meV per atom. Number 3: formation energy without anion corrections -164.9 meV per atom. Number 4: formation energy without anion corrections -130.4 meV per atom. Number 5: formation energy without anion corrections -121.3 meV per atom. Number 6: formation energy without anion corrections -323.2 meV per atom.